1.
A plane-wave DFT calculation with PBE was carried out for a relaxed ZnMo3I crystal.

Unit cell a=4.8617 b=4.8617 c=4.8617 alpha=90.00 beta=90.00 gamma=90.00
Space group Pm-3m (No. 221)
Asymmetric unit:
1 Zn 0.0000 0.0000 0.0000
2 Mo 0.0000 0.5000 0.5000
3 I 0.5000 0.5000 0.5000

E above lowest polymorph = 0.982 eV per formula unit
Energy relative to the elements, uncorrected = 2.093 eV/atom
Total magnetic moment = 0.0 μB/f.u.

***

2.
A plane-wave DFT calculation with PBE was carried out for a relaxed Zn2MoI8 crystal.

Unit cell a=15.2170 b=8.8942 c=6.8535 alpha=90.00 beta=91.64 gamma=90.00
Space group C2/m (No. 12)
Asymmetric unit:
1 Zn 0.1662 0.0000 0.1043
2 Mo 0.0000 0.0000 0.5000
3 I 0.0683 0.2204 0.2589
4 I 0.1593 0.0000 0.7133
5 I 0.1720 0.5000 0.7985

Energy relative to the elements, uncorrected = -0.326 eV/atom
Total magnetic moment = 2.0 μB/f.u.

***

3.
A plane-wave DFT calculation with PBE was carried out for a relaxed ZnMoI3 crystal.

Unit cell a=5.5865 b=5.5865 c=5.5865 alpha=90.00 beta=90.00 gamma=90.00
Space group Pm-3m (No. 221)
Asymmetric unit:
1 Zn 0.0000 0.0000 0.0000
2 Mo 0.5000 0.5000 0.5000
3 I 0.0000 0.0000 0.5000

E above lowest polymorph = 1.827 eV per formula unit
Energy relative to the elements, uncorrected = 0.696 eV/atom
Total magnetic moment = 4.9 μB/f.u.

***

4.
A plane-wave DFT calculation with PBE was carried out for a relaxed Zn2MoI crystal.

Unit cell a=6.8497 b=6.8497 c=6.8497 alpha=90.00 beta=90.00 gamma=90.00
Space group Fm-3m (No. 225)
Asymmetric unit:
1 Zn 0.2500 0.2500 0.2500
2 Mo 0.0000 0.0000 0.0000
3 I 0.0000 0.0000 0.5000

E above lowest polymorph = 1.041 eV per formula unit
Energy relative to the elements, uncorrected = 1.087 eV/atom
Total magnetic moment = 2.6 μB/f.u.

***

5.
A plane-wave DFT calculation with PBE was carried out for a relaxed Zr3MoI crystal.

Unit cell a=5.1336 b=5.1336 c=5.1336 alpha=90.00 beta=90.00 gamma=90.00
Space group Pm-3m (No. 221)
Asymmetric unit:
1 Zr 0.0000 0.0000 0.5000
2 Mo 0.0000 0.0000 0.0000
3 I 0.5000 0.5000 0.5000

E above lowest polymorph = 0.000 eV per formula unit
Energy relative to the elements, uncorrected = 0.674 eV/atom
Total magnetic moment = 0.0 μB/f.u.

***

6.
A plane-wave DFT calculation with PBE was carried out for a relaxed Zr3MoI crystal.

Unit cell a=5.1828 b=5.1828 c=5.1828 alpha=90.00 beta=90.00 gamma=90.00
Space group Pm-3m (No. 221)
Asymmetric unit:
1 Zr 0.0000 0.0000 0.5000
2 Mo 0.5000 0.5000 0.5000
3 I 0.0000 0.0000 0.0000

E above lowest polymorph = 3.533 eV per formula unit
Energy relative to the elements, uncorrected = 1.381 eV/atom
Total magnetic moment = 2.1 μB/f.u.

***

7.
A plane-wave DFT calculation with PBE was carried out for a relaxed ZrMo2I crystal.

Unit cell a=6.6526 b=6.6526 c=6.6526 alpha=90.00 beta=90.00 gamma=90.00
Space group Fm-3m (No. 225)
Asymmetric unit:
1 Zr 0.0000 0.0000 0.0000
2 Mo 0.2500 0.2500 0.2500
3 I 0.0000 0.0000 0.5000

E above lowest polymorph = 0.000 eV per formula unit
Energy relative to the elements, uncorrected = 0.688 eV/atom
Total magnetic moment = 0.0 μB/f.u.

***

8.
A plane-wave DFT calculation with PBE was carried out for a relaxed Zr2Mo4I crystal.

Unit cell a=4.8196 b=4.8196 c=13.6738 alpha=90.00 beta=90.00 gamma=90.00
Space group I4/mmm (No. 139)
Asymmetric unit:
1 Zr 0.0000 0.0000 0.1274
2 Mo 0.0000 0.0000 0.3145
3 Mo 0.0000 0.5000 0.0000
4 I 0.0000 0.0000 0.5000

Energy relative to the elements, uncorrected = 1.611 eV/atom
Total magnetic moment = 0.0 μB/f.u.